## K2MoSe (meta-GGA SCAN)

Data for a PBEsol-optimized structure of K2MoSe.

Output
The value obtained for the energy relative to the elements, uncorrected is 0.4487 eV/atom. The value obtained for the raw total energy is -17.457 eV/atom. The value obtained for the energy above the most stable polymorph in this dataset is 99 meV per atom. The spin magnetization comes out at 1.001 μB/atom.

Cell: 4.399 4.402 6.112 Å, 111.11 111.09 90.00°
Fractional positions:
K 0.750 0.750 0.500
K 0.250 0.250 0.500
Se 0.000 0.500 0.000
Mo 0.500 0.000 0.000